Entry 1:
First-principles (PBE-GGA) data for a relaxed SrSiTe2 crystal, as listed in Alexandria via LeMat-Bulk.

Unit cell a=3.7015 b=3.7015 c=9.2151 alpha=90.00 beta=90.00 gamma=89.99
Element x y z (fractional)
Si 0.0000 0.0000 0.4688
Sr 0.5000 0.5000 0.7254
Te 0.0000 0.0000 0.9535
Te 0.5000 0.5000 0.3523

Symmetry: P4mm, No. 99
Formation energy without anion corrections: -0.32 eV per atom
Crystal system: tetragonal

Entry 2:
First-principles (PBE-GGA) data for a relaxed CaAcPrNd crystal, as listed in Alexandria via LeMat-Bulk.

Unit cell a=6.0496 b=6.0496 c=6.0496 alpha=60.00 beta=60.00 gamma=60.00
Element x y z (fractional)
Pr 0.0000 0.0000 0.0000
Ac 0.7500 0.7500 0.7500
Nd 0.5000 0.5000 0.5000
Ca 0.2500 0.2500 0.2500

Symmetry: F-43m, No. 216
Formation energy from the elements: 125 meV/atom
Energy above the lowest structure with this stoichiometry: 88.7 meV/atom
Crystal system: cubic

no.,DOS at the Fermi energy (states/eV per atom),electronic total energy (eV for the cell shown)
1,0.591,-14.69
2,1.854,-15.16